No. 1
! Dy2Hf2O7 (GGA-PBE, optimized geometry); values from VASP
&SYSTEM
  ibrav = 0, nat = 22, ntyp = 3
/
ATOMIC_SPECIES
Dy 162.50 Dy.upf
Hf 178.49 Hf.upf
O 16.00 O.upf
CELL_PARAMETERS angstrom
0.000 5.253 5.253
5.253 0.000 5.253
5.253 5.253 0.000
ATOMIC_POSITIONS angstrom
Dy 0.000 0.000 0.000
Dy 2.626 2.626 0.000
Dy 2.626 0.000 2.626
Dy 0.000 2.626 2.626
Hf 5.253 2.626 2.626
Hf 2.626 5.253 2.626
Hf 2.626 2.626 5.253
Hf 5.253 5.253 5.253
O 1.313 1.313 1.313
O 3.940 3.940 1.702
O 3.940 1.702 3.940
O 6.178 3.940 3.940
O 6.566 6.566 4.328
O 6.566 4.328 6.566
O 8.804 6.566 6.566
O 1.702 3.940 3.940
O 3.940 6.178 3.940
O 3.940 3.940 6.178
O 4.328 6.566 6.566
O 6.566 8.804 6.566
O 6.566 6.566 8.804
O 9.192 9.192 9.192
! Uncorrected formation energy in eV per atom: -3.57
! N(E_F) in states/eV/atom: 0.000
! SG: No. 227
! Crystal system: cubic

No. 2
! DyHfPaO6 (GGA-PBE, optimized geometry); values from VASP
&SYSTEM
  ibrav = 0, nat = 18, ntyp = 4
/
ATOMIC_SPECIES
Dy 162.50 Dy.upf
Hf 178.49 Hf.upf
Pa 231.04 Pa.upf
O 16.00 O.upf
CELL_PARAMETERS angstrom
5.583 0.000 0.000
-2.792 4.835 0.000
0.000 0.000 9.467
ATOMIC_POSITIONS angstrom
Dy 0.000 3.223 2.367
Dy 2.792 1.612 7.100
Hf 0.000 3.223 7.100
Hf 2.792 1.612 2.367
Pa 0.000 0.000 0.000
Pa 0.000 0.000 4.733
O -0.815 1.654 5.966
O -1.767 3.303 8.234
O 0.815 1.654 8.234
O -0.952 4.714 5.966
O 1.840 0.121 1.233
O 1.025 1.533 3.500
O 1.767 3.303 5.966
O 0.952 4.714 8.234
O 3.743 0.121 3.500
O 1.977 3.181 1.233
O 4.558 1.533 1.233
O 3.606 3.181 3.500
! Uncorrected formation energy in eV per atom: -3.51
! N(E_F) in states/eV/atom: 0.000
! SG: No. 163
! Crystal system: trigonal

No. 3
! DyPuHfO6 (GGA-PBE, optimized geometry); values from VASP
&SYSTEM
  ibrav = 0, nat = 18, ntyp = 4
/
ATOMIC_SPECIES
Dy 162.50 Dy.upf
Pu 244.00 Pu.upf
Hf 178.49 Hf.upf
O 16.00 O.upf
CELL_PARAMETERS angstrom
5.580 0.000 0.000
-2.790 4.833 0.000
0.000 0.000 9.541
ATOMIC_POSITIONS angstrom
Dy 0.000 0.000 0.000
Dy 0.000 0.000 4.770
Pu 0.000 3.222 2.385
Pu 2.790 1.611 7.156
Hf 0.000 3.222 7.156
Hf 2.790 1.611 2.385
O -0.945 1.699 6.064
O -1.791 3.165 8.247
O 0.945 1.699 8.247
O -0.846 4.801 6.064
O 1.944 0.031 1.294
O 0.999 1.668 3.477
O 1.791 3.165 6.064
O 0.846 4.801 8.247
O 3.636 0.031 3.477
O 1.845 3.133 1.294
O 4.581 1.668 1.294
O 3.735 3.133 3.477
! Uncorrected formation energy in eV per atom: -3.19
! N(E_F) in states/eV/atom: 1.106
! SG: No. 163
! Crystal system: trigonal

No. 4
! DyHfSb2O (GGA-PBE, optimized geometry); values from VASP
&SYSTEM
  ibrav = 0, nat = 10, ntyp = 4
/
ATOMIC_SPECIES
Dy 162.50 Dy.upf
Hf 178.49 Hf.upf
Sb 121.76 Sb.upf
O 16.00 O.upf
CELL_PARAMETERS angstrom
3.930 0.000 0.000
0.000 3.930 0.000
0.000 0.000 15.880
ATOMIC_POSITIONS angstrom
Dy 0.983 0.983 1.093
Dy 2.948 2.948 14.787
Hf 0.983 0.983 9.830
Hf 2.948 2.948 6.050
Sb 0.983 0.983 6.715
Sb 0.983 0.983 12.652
Sb 2.948 2.948 3.228
Sb 2.948 2.948 9.165
O 0.983 2.948 0.000
O 2.948 0.983 0.000
! Uncorrected formation energy in eV per atom: -1.43
! N(E_F) in states/eV/atom: 0.429
! SG: No. 129
! Crystal system: tetragonal

Record order is preserved below.
Mass density: 9.097, 8.681, 8.790, 8.130 Mg/m³